[1]
# SiTc PBE optimized geometry
data_SiTc
_chemical_formula_sum 'Si8 Tc8'
_space_group_name_H-M_alt 'P 1'
_space_group_IT_number 1
_cell_length_a 8.2989
_cell_length_b 8.2989
_cell_length_c 3.8300
_cell_angle_alpha 90.00
_cell_angle_beta 90.00
_cell_angle_gamma 90.00
loop_
_space_group_symop_operation_xyz
'x,y,z'
loop_
_atom_site_label
_atom_site_type_symbol
_atom_site_fract_x
_atom_site_fract_y
_atom_site_fract_z
Si1 Si 0.0942 0.8136 0.0000
Si2 Si 0.1864 0.0942 0.0000
Si3 Si 0.3136 0.4058 0.5000
Si4 Si 0.4058 0.6864 0.5000
Si5 Si 0.5942 0.3136 0.5000
Si6 Si 0.6864 0.5942 0.5000
Si7 Si 0.8136 0.9058 0.0000
Si8 Si 0.9058 0.1864 0.0000
Tc1 Tc 0.1183 0.3737 0.0000
Tc2 Tc 0.1263 0.6183 0.5000
Tc3 Tc 0.3737 0.8817 0.0000
Tc4 Tc 0.3817 0.1263 0.5000
Tc5 Tc 0.6183 0.8737 0.5000
Tc6 Tc 0.6263 0.1183 0.0000
Tc7 Tc 0.8737 0.3817 0.5000
Tc8 Tc 0.8817 0.6263 0.0000
# space-group type = I4/m
# crystal system = tetragonal



[2]
# SiTc4 PBE optimized geometry
data_SiTc4
_chemical_formula_sum 'Si1 Tc4'
_space_group_name_H-M_alt 'P 1'
_space_group_IT_number 1
_cell_length_a 10.9099
_cell_length_b 10.7633
_cell_length_c 2.7278
_cell_angle_alpha 85.84
_cell_angle_beta 79.72
_cell_angle_gamma 14.44
loop_
_space_group_symop_operation_xyz
'x,y,z'
loop_
_atom_site_label
_atom_site_type_symbol
_atom_site_fract_x
_atom_site_fract_y
_atom_site_fract_z
Si1 Si 0.0000 0.0000 0.0000
Tc1 Tc 0.1978 0.1978 0.8022
Tc2 Tc 0.4078 0.4078 0.5922
Tc3 Tc 0.5922 0.5922 0.4078
Tc4 Tc 0.8022 0.8022 0.1978
# space-group type = Fmmm
# crystal system = orthorhombic



[3]
# SiTc PBE optimized geometry
data_SiTc
_chemical_formula_sum 'Si6 Tc6'
_space_group_name_H-M_alt 'P 1'
_space_group_IT_number 1
_cell_length_a 6.6013
_cell_length_b 6.6013
_cell_length_c 6.6013
_cell_angle_alpha 90.00
_cell_angle_beta 90.00
_cell_angle_gamma 90.00
loop_
_space_group_symop_operation_xyz
'x,y,z'
loop_
_atom_site_label
_atom_site_type_symbol
_atom_site_fract_x
_atom_site_fract_y
_atom_site_fract_z
Si1 Si 0.0000 0.2500 0.5000
Si2 Si 0.0000 0.7500 0.5000
Si3 Si 0.2500 0.5000 0.0000
Si4 Si 0.5000 0.0000 0.2500
Si5 Si 0.5000 0.0000 0.7500
Si6 Si 0.7500 0.5000 0.0000
Tc1 Tc 0.0000 0.5000 0.2500
Tc2 Tc 0.0000 0.5000 0.7500
Tc3 Tc 0.2500 0.0000 0.5000
Tc4 Tc 0.5000 0.2500 0.0000
Tc5 Tc 0.5000 0.7500 0.0000
Tc6 Tc 0.7500 0.0000 0.5000
# space-group type = Pm-3n
# crystal system = cubic



| no. | D(E_F) (states/eV/f.u.) | raw formation energy (eV per atom) | polymorph energy (0 for the lowest one) (eV/atom) |
| --- | --- | --- | --- |
| 1 | 2.3 | 0.0984 | 0.619 |
| 2 | 5.1 | 0.1379 | 0.000 |
| 3 | 2.0 | 0.7719 | 1.293 |